(1)
Computed, not measured: an optimized crystal structure of Li4SmGa4 at the PBE-GGA level of DFT.

Summary:
magnetic moment = 0.000 μB per cell
Fermi-level density of states = 0.320 states/eV per atom
DFT total energy = -2.99 eV/atom
DFT formation energy = -2.44 eV per formula unit

Lattice parameters (Å, degrees): 5.8991 5.8991 9.2789 90.00 90.00 90.00
With the nearest neighbours (Å) after each atom.
Fractional positions:
Li 0.0239 0.2500 0.1698  5 Ga 2.61-2.71, 3 Li 2.67-2.73
Li 0.2500 0.0239 0.6698  5 Ga 2.61-2.71, 3 Li 2.67-2.73
Li 0.2500 0.4761 0.6698  5 Ga 2.61-2.71, 3 Li 2.67-2.73
Li 0.4761 0.2500 0.1698  5 Ga 2.61-2.71, 3 Li 2.67-2.73
Li 0.5239 0.7500 0.8302  5 Ga 2.61-2.71, 3 Li 2.67-2.73
Li 0.7500 0.5239 0.3302  5 Ga 2.61-2.71, 3 Li 2.67-2.73
Li 0.7500 0.9761 0.3302  5 Ga 2.61-2.71, 3 Li 2.67-2.73
Li 0.9761 0.7500 0.8302  5 Ga 2.61-2.71, 3 Li 2.67-2.73
Sm 0.2500 0.7500 0.2500  4 Ga 3.13, 8 Li 3.32
Sm 0.7500 0.2500 0.7500  4 Ga 3.13, 8 Li 3.32
Ga 0.0287 0.2500 0.4624  1 Ga 2.61, 5 Li 2.61-2.71
Ga 0.2500 0.0287 0.9624  1 Ga 2.61, 5 Li 2.61-2.71
Ga 0.2500 0.4713 0.9624  1 Ga 2.61, 5 Li 2.61-2.71
Ga 0.4713 0.2500 0.4624  1 Ga 2.61, 5 Li 2.61-2.71
Ga 0.5287 0.7500 0.5376  1 Ga 2.61, 5 Li 2.61-2.71
Ga 0.7500 0.5287 0.0376  1 Ga 2.61, 5 Li 2.61-2.71
Ga 0.7500 0.9713 0.0376  1 Ga 2.61, 5 Li 2.61-2.71
Ga 0.9713 0.7500 0.5376  1 Ga 2.61, 5 Li 2.61-2.71


(2)
Computed, not measured: an optimized crystal structure of LiSm3Ga2 at the PBE-GGA level of DFT.

Summary:
magnetic moment = 0.000 μB per cell
Fermi-level density of states = 0.994 states/eV per atom
DFT total energy = -4.09 eV/atom
DFT formation energy = -2.39 eV per formula unit

Lattice parameters (Å, degrees): 5.1889 5.1889 12.7487 90.00 90.00 120.00
With the nearest neighbours (Å) after each atom.
Fractional positions:
Li 0.3333 0.6667 0.1726  8 Sm 3.18-3.25, 3 Ga 3.55
Li 0.6667 0.3333 0.8274  8 Sm 3.18-3.25, 3 Ga 3.55
Sm 0.0000 0.0000 0.2573  5 Ga 3.09-3.28, 3 Li 3.18
Sm 0.0000 0.0000 0.7427  5 Ga 3.09-3.28, 3 Li 3.18
Sm 0.3333 0.6667 0.4224  7 Ga 3.16-3.26, 1 Li 3.18
Sm 0.3333 0.6667 0.9177  4 Ga 3.05-3.17, 4 Li 3.21-3.25
Sm 0.6667 0.3333 0.0823  4 Ga 3.05-3.17, 4 Li 3.21-3.25
Sm 0.6667 0.3333 0.5776  7 Ga 3.16-3.26, 1 Li 3.18
Ga 0.0000 0.0000 0.0000  8 Sm 3.17-3.28
Ga 0.0000 0.0000 0.5000  8 Sm 3.09-3.16
Ga 0.3333 0.6667 0.6784  8 Sm 3.05-3.26
Ga 0.6667 0.3333 0.3216  8 Sm 3.05-3.26


(3)
Computed, not measured: an optimized crystal structure of LiSmGa at the PBE-GGA level of DFT.

Summary:
magnetic moment = 0.000 μB per cell
Fermi-level density of states = 1.194 states/eV per atom
DFT total energy = -3.44 eV/atom
DFT formation energy = -0.66 eV per formula unit
energy above the lowest structure with this stoichiometry = 172 meV per atom

Lattice parameters (Å, degrees): 5.9816 5.9816 5.9816 146.00 146.00 48.84
With the nearest neighbours (Å) after each atom.
Fractional positions:
Li 0.0000 0.0000 0.0000  4 Ga 2.76
Sm 0.2914 0.2914 0.0000  5 Ga 3.15-3.50, 5 Li 3.17-3.36, 4 Sm 3.50
Ga 0.6126 0.6126 0.0000  4 Li 2.76